Record 1
Compound: Zr2HPt
Source: Alexandria via LeMat-Bulk
Functional: meta-GGA SCAN
Structure: single point on PBEsol structure

a b c (Å): 4.514 4.514 4.514
angles (deg): 60.00 60.00 60.00
Fractional coordinates of all 4 atoms:
Zr 0.250 0.250 0.250
Zr 0.750 0.750 0.750
H 0.000 0.000 0.000
Pt 0.500 0.500 0.500

Computed properties:
The value obtained for the total DFT energy (no corrections) is -137.0 eV/cell. The value obtained for the spin magnetization is 0.0 μB per formula unit. Its space group is Fm-3m, No. 225.

---

Record 2
Compound: Zr3HPt
Source: Alexandria via LeMat-Bulk
Functional: meta-GGA SCAN
Structure: single point on PBEsol structure

a b c (Å): 4.305 4.305 4.305
angles (deg): 90.00 90.00 90.00
Fractional coordinates of all 5 atoms:
Zr 0.000 0.000 0.500
Zr 0.000 0.500 0.000
Zr 0.500 0.000 0.000
H 0.000 0.000 0.000
Pt 0.500 0.500 0.500

Computed properties:
The value obtained for the total DFT energy (no corrections) is -168.8 eV/cell. The value obtained for the spin magnetization is 0.0 μB per formula unit. Its space group is Pm-3m, No. 221.